## one
Below is crystalline CaMn2Br at its relaxed geometry, with properties calculated at the PBE level.

Total magnetic moment: 8.8 μB per formula unit

Lattice parameters (Å, degrees): 3.5217 3.5217 27.5126 90.00 90.00 120.00
Fractional coordinates of all 12 atoms:
Ca 0.0000 0.0000 0.0000
Ca 0.3333 0.6667 0.6667
Ca 0.6667 0.3333 0.3333
Mn 0.0000 0.0000 0.2412
Mn 0.0000 0.0000 0.7588
Mn 0.3333 0.6667 0.4255
Mn 0.3333 0.6667 0.9078
Mn 0.6667 0.3333 0.0922
Mn 0.6667 0.3333 0.5745
Br 0.0000 0.0000 0.5000
Br 0.3333 0.6667 0.1667
Br 0.6667 0.3333 0.8333

***

## two
Below is crystalline CaMn2Br at its relaxed geometry, with properties calculated at the PBE level.

Total magnetic moment: 8.8 μB per formula unit

Lattice parameters (Å, degrees): 3.3928 3.3928 8.3748 90.00 90.00 90.00
Fractional coordinates of all 4 atoms:
Ca 0.0000 0.0000 0.0000
Mn 0.5000 0.5000 0.2716
Mn 0.5000 0.5000 0.7284
Br 0.0000 0.0000 0.5000

***

What are the relative energies? In kJ/mol of atoms: one 0.0; two 0.8.

***

## one
Below is crystalline Ca2MnBr2 at its relaxed geometry, with properties calculated at the PBE level.

Total magnetic moment: 3.4 μB per formula unit

Lattice parameters (Å, degrees): 8.5637 8.5637 3.6089 90.00 90.00 90.00
Fractional coordinates of all 10 atoms:
Ca 0.1731 0.3269 0.0000
Ca 0.3269 0.8269 0.0000
Ca 0.6731 0.1731 0.0000
Ca 0.8269 0.6731 0.0000
Mn 0.0000 0.0000 0.5000
Mn 0.5000 0.5000 0.5000
Br 0.1329 0.6329 0.5000
Br 0.3671 0.1329 0.5000
Br 0.6329 0.8671 0.5000
Br 0.8671 0.3671 0.5000

***

## two
Below is crystalline Ca2MnBr2 at its relaxed geometry, with properties calculated at the PBE level.

Total magnetic moment: 1.7 μB per formula unit

Lattice parameters (Å, degrees): 5.9774 5.9774 8.1223 90.00 90.00 90.00
Fractional coordinates of all 10 atoms:
Ca 0.0000 0.5000 0.2500
Ca 0.0000 0.5000 0.7500
Ca 0.5000 0.0000 0.2500
Ca 0.5000 0.0000 0.7500
Mn 0.0000 0.0000 0.0000
Mn 0.5000 0.5000 0.5000
Br 0.0000 0.0000 0.2942
Br 0.0000 0.0000 0.7058
Br 0.5000 0.5000 0.2058
Br 0.5000 0.5000 0.7942

***

What are the relative energies? In kJ/mol of atoms: one 0.0; two 10.1.

***

## one
Below is crystalline CaMnBr4 at its relaxed geometry, with properties calculated at the PBE level.

Total magnetic moment: 5.0 μB per formula unit

Lattice parameters (Å, degrees): 15.4143 4.0736 7.0842 90.00 115.30 90.00
Fractional coordinates of all 12 atoms:
Ca 0.0000 0.0000 0.0000
Ca 0.5000 0.5000 0.0000
Mn 0.0000 0.5000 0.5000
Mn 0.5000 0.0000 0.5000
Br 0.1087 0.0000 0.4526
Br 0.1122 0.5000 0.9165
Br 0.3878 0.0000 0.0835
Br 0.3913 0.5000 0.5474
Br 0.6087 0.5000 0.4526
Br 0.6122 0.0000 0.9165
Br 0.8878 0.5000 0.0835
Br 0.8913 0.0000 0.5474

***

## two
Below is crystalline CaMnBr4 at its relaxed geometry, with properties calculated at the PBE level.

Total magnetic moment: 7.0 μB per formula unit

Lattice parameters (Å, degrees): 6.4335 6.4335 6.4335 60.00 60.00 60.00
Fractional coordinates of all 6 atoms:
Ca 0.0000 0.0000 0.0000
Mn 0.7500 0.7500 0.7500
Br 0.3749 0.3749 0.3749
Br 0.3749 0.3749 0.8752
Br 0.3749 0.8752 0.3749
Br 0.8752 0.3749 0.3749

***

What are the relative energies? In kJ/mol of atoms: one 0.0; two 147.1.

***

## one
Below is crystalline CaMoBr at its relaxed geometry, with properties calculated at the PBE level.

Total magnetic moment: 0.9 μB per formula unit

Lattice parameters (Å, degrees): 3.4359 3.4359 6.7216 90.00 90.00 120.00
Fractional coordinates of all 3 atoms:
Ca 0.0000 0.0000 0.0000
Mo 0.6667 0.3333 0.3510
Br 0.3333 0.6667 0.6276

***

## two
Below is crystalline CaMoBr at its relaxed geometry, with properties calculated at the PBE level.

Total magnetic moment: 5.0 μB per formula unit

Lattice parameters (Å, degrees): 7.4665 7.4665 7.4665 90.00 90.00 90.00
Fractional coordinates of all 12 atoms:
Ca 0.0000 0.0000 0.0000
Ca 0.0000 0.5000 0.5000
Ca 0.5000 0.0000 0.5000
Ca 0.5000 0.5000 0.0000
Mo 0.2500 0.2500 0.2500
Mo 0.2500 0.7500 0.7500
Mo 0.7500 0.2500 0.7500
Mo 0.7500 0.7500 0.2500
Br 0.2500 0.2500 0.7500
Br 0.2500 0.7500 0.2500
Br 0.7500 0.2500 0.2500
Br 0.7500 0.7500 0.7500

***

What are the relative energies? In kJ/mol of atoms: one 0.0; two 53.7.